## MnReIF2 (PBE+U)

Data for crystalline MnReIF2 at its relaxed geometry.

Cell lengths 4.522, 4.522, 5.046 Å; angles 90.00, 90.00, 90.00 degrees
Fractional coordinates of all 5 atoms:
Mn (0.000, 0.000, 0.000)
Re (0.500, 0.500, 0.000)
I (0.500, 0.500, 0.500)
F (0.000, 0.500, 0.500)
F (0.500, 0.000, 0.500)

Results
Mass density in g/cm³: 6.54
Symmetry: P4/mmm
VASP energy in eV/cell: -23.06